Record 1
Compound: TlH6PtAu
Source: the Alexandria database
Functional: PBE
Structure: relaxed

Lattice parameters (Å, degrees): 4.9949 4.9949 5.2796 90.00 90.00 120.00
Last column: nearest neighbours and their distance in Å.
Space group P312 (No. 149)
Inequivalent atoms, fractional coordinates:
Tl (0.0000, 0.0000, 0.0000) [1 per cell]  6 H 2.52
H (0.3943, 0.0432, 0.6799) [6 per cell]  1 Pt 1.70
Pt (0.6667, 0.3333, 0.5000) [1 per cell]  6 H 1.70
Au (0.3333, 0.6667, 0.5000) [1 per cell]  6 H 1.99

***

Record 2
Compound: EuHoAlSn
Source: the Alexandria database
Functional: PBE
Structure: relaxed

Lattice parameters (Å, degrees): 7.5010 7.5010 7.5010 90.00 90.00 90.00
Last column: nearest neighbours and their distance in Å.
Space group F-43m (No. 216)
Inequivalent atoms, fractional coordinates:
Eu (0.0000, 0.0000, 0.0000) [4 per cell]  4 Al 3.25, 4 Sn 3.25
Ho (0.0000, 0.0000, 0.5000) [4 per cell]  4 Sn 3.25, 4 Al 3.25
Al (0.2500, 0.2500, 0.7500) [4 per cell]  4 Ho 3.25, 4 Eu 3.25
Sn (0.2500, 0.2500, 0.2500) [4 per cell]  4 Ho 3.25, 4 Eu 3.25

Output
E_form: -1.7 eV per formula unit

***

Record 3
Compound: CaMnCr2
Source: the Alexandria database
Functional: PBE
Structure: relaxed

Lattice parameters (Å, degrees): 3.6869 3.6869 4.6217 90.00 90.00 90.00
Last column: nearest neighbours and their distance in Å.
Space group P4/mmm (No. 123)
Inequivalent atoms, fractional coordinates:
Ca (0.0000, 0.0000, 0.0000) [1 per cell]  4 Mn 2.61
Mn (0.5000, 0.5000, 0.0000) [1 per cell]  4 Ca 2.61
Cr (0.0000, 0.5000, 0.5000) [2 per cell]  4 Cr 2.61

Output
Relative energy among the computed polymorphs: 2.433 eV per formula unit
E_form: 4.2 eV per formula unit

***

Spin magnetization readings, ordered: 0.00 1.76 0.88 μB per atom
Raw total energy readings, ordered: -31.36 -97.12 -26.22 eV for the cell shown